First-principles (PBE) data for a relaxed structure of YTm2TcN4, as listed in Alexandria via LeMat-Bulk.

The value obtained for the formation energy without anion corrections is -1.142 eV per atom. The calculation puts the final energy at -8.527 eV/atom. The value obtained for the total magnetization is 0.00 μB/f.u.

The space group is Cmcm (No. 63) and the conventional cell measures 3.3822, 11.4702 and 11.4393 Å, with angles of 90.00, 90.00 and 90.00 degrees. The distinct sites, in fractional coordinates, are Y at (0.0000, 0.1324, 0.2500), Tm at (0.0000, 0.3685, 0.0392), Tc at (0.0000, 0.1321, 0.7500), N at (0.0000, 0.0000, 0.0000), N at (0.0000, 0.2626, 0.6278) and N at (0.0000, 0.4532, 0.2500).



First-principles (PBE) data for a relaxed structure of UTcN2, as listed in Alexandria via LeMat-Bulk.

The value obtained for the formation energy without anion corrections is -0.788 eV per atom. The calculation puts the final energy at -10.364 eV/atom. The value obtained for the total magnetization is 1.00 μB/f.u.

The space group is R-3m (No. 166, hexagonal axes) and the conventional cell measures 3.4375, 3.4375 and 13.8060 Å, with angles of 90.00, 90.00 and 120.00 degrees. The distinct sites, in fractional coordinates, are U at (0.0000, 0.0000, 0.0000), Tc at (0.0000, 0.0000, 0.5000) and N at (0.0000, 0.0000, 0.2400).



First-principles (PBE) data for a relaxed structure of U2TcN, as listed in Alexandria via LeMat-Bulk.

The value obtained for the formation energy without anion corrections is -0.199 eV per atom. The calculation puts the final energy at -10.516 eV/atom. The value obtained for the total magnetization is 0.87 μB/f.u.

The space group is P4/mmm (No. 123) and the conventional cell measures 2.9608, 2.9608 and 7.0644 Å, with angles of 90.00, 90.00 and 90.00 degrees. The distinct sites, in fractional coordinates, are U at (0.0000, 0.0000, 0.2138), Tc at (0.5000, 0.5000, 0.5000) and N at (0.5000, 0.5000, 0.0000).



First-principles (PBE) data for a relaxed structure of U2TcN, as listed in Alexandria via LeMat-Bulk.

The value obtained for the formation energy without anion corrections is -0.074 eV per atom. The calculation puts the final energy at -10.391 eV/atom. The value obtained for the total magnetization is 0.59 μB/f.u.

The space group is R-3m (No. 166, hexagonal axes) and the conventional cell measures 5.2241, 5.2241 and 9.0759 Å, with angles of 90.00, 90.00 and 120.00 degrees. The distinct sites, in fractional coordinates, are U at (0.0000, 0.0000, 0.2277), Tc at (0.0000, 0.0000, 0.5000) and N at (0.0000, 0.0000, 0.0000).



First-principles (PBE) data for a relaxed structure of U3Tc5N12, as listed in Alexandria via LeMat-Bulk.

The value obtained for the formation energy without anion corrections is -0.440 eV per atom. The calculation puts the final energy at -9.720 eV/atom. The value obtained for the total magnetization is 5.52 μB/f.u.

The space group is Ia-3d (No. 230) and the conventional cell measures 12.5479, 12.5479 and 12.5479 Å, with angles of 90.00, 90.00 and 90.00 degrees. The distinct sites, in fractional coordinates, are U at (0.0000, 0.2500, 0.1250), Tc at (0.0000, 0.0000, 0.0000), Tc at (0.0000, 0.2500, 0.3750) and N at (0.0263, 0.0569, 0.6532).



First-principles (PBE) data for a relaxed structure of V4Tc2N, as listed in Alexandria via LeMat-Bulk.

The value obtained for the formation energy without anion corrections is -0.071 eV per atom. The calculation puts the final energy at -9.433 eV/atom. The value obtained for the total magnetization is 0.00 μB/f.u.

The space group is I4/mmm (No. 139) and the conventional cell measures 3.8502, 3.8502 and 12.6773 Å, with angles of 90.00, 90.00 and 90.00 degrees. The distinct sites, in fractional coordinates, are V at (0.0000, 0.0000, 0.1656), V at (0.0000, 0.5000, 0.0000), Tc at (0.0000, 0.0000, 0.3483) and N at (0.0000, 0.0000, 0.0000).



First-principles (PBE) data for a relaxed structure of V2TcN, as listed in Alexandria via LeMat-Bulk.

The value obtained for the formation energy without anion corrections is -0.665 eV per atom. The calculation puts the final energy at -9.898 eV/atom. The value obtained for the total magnetization is 0.00 μB/f.u.

The space group is R-3m (No. 166, hexagonal axes) and the conventional cell measures 2.8573, 2.8573 and 19.6072 Å, with angles of 90.00, 90.00 and 120.00 degrees. The distinct sites, in fractional coordinates, are V at (0.0000, 0.0000, 0.2246), Tc at (0.0000, 0.0000, 0.0000) and N at (0.0000, 0.0000, 0.5000).



First-principles (PBE) data for a relaxed structure of V3TcN, as listed in Alexandria via LeMat-Bulk.

The value obtained for the formation energy without anion corrections is 2.070 eV per atom. The calculation puts the final energy at -7.139 eV/atom. The value obtained for the total magnetization is 0.00 μB/f.u.

The space group is Pm-3m (No. 221) and the conventional cell measures 4.4905, 4.4905 and 4.4905 Å, with angles of 90.00, 90.00 and 90.00 degrees. The distinct sites, in fractional coordinates, are V at (0.0000, 0.0000, 0.5000), Tc at (0.0000, 0.0000, 0.0000) and N at (0.5000, 0.5000, 0.5000).



The lowest formation energy without anion corrections belongs to which entry?
YTm2TcN4



Which value of final energy does entry 8 give?
-7.139 eV/atom